A geometry-optimized Ca2AcThP4 structure, computed with PBE.

extended XYZ file:
```
8
Lattice="7.208 0.000 0.000 0.000 4.282 0.000 -2.563 0.000 6.985" Properties=species:S:1:pos:R:3 pbc="T T T"
Ca 0.000 0.000 0.000
Ca -1.281 2.141 3.492
Ac 2.322 0.000 3.492
Th 3.604 2.141 0.000
P 1.189 2.141 1.647
P -0.106 0.000 5.334
P 4.751 0.000 1.651
P 3.456 2.141 5.338
```

- Space-group type: P2/m
- Crystal system: monoclinic
- Uncorrected energy: -5.874 eV per atom

A geometry-optimized Sm6GeAs2S3 structure, computed with PBE.

extended XYZ file:
```
12
Lattice="8.988 -2.071 0.000 8.988 2.071 0.000 -1.833 0.000 8.028" Properties=species:S:1:pos:R:3 pbc="T T T"
Sm -0.449 0.000 2.019
Sm 5.242 0.000 3.363
Sm 4.320 0.000 7.357
Sm 11.824 0.000 0.671
Sm 10.901 0.000 4.666
Sm 16.593 0.000 6.010
Ge 8.072 0.000 4.014
As 1.476 0.000 6.696
As 14.667 0.000 1.332
S 2.402 0.000 2.669
S 8.988 0.000 0.000
S 13.741 0.000 5.360
```

- Space-group type: C2/m
- Crystal system: monoclinic
- Formation energy without anion corrections: -1.70 eV/atom
- Uncorrected energy: -6.249 eV per atom